No. 1
Below is crystalline Pm2Al3AgPt4 at its relaxed geometry, with properties calculated at the GGA-PBE level.

Values from the calculation:
V   19.40 Å³/atom
SG   P-4m2 (115)

The structure in extended XYZ format:
```
10
Lattice="-1.308 0.967 3.768 -2.274 -3.416 0.087 8.855 -5.779 4.557" Properties=species:S:1:pos:R:3 pbc="T T T"
Al 4.428 -2.890 2.279
Al -0.030 -2.431 0.614
Al 7.094 -4.573 5.872
Pt 5.192 -3.331 4.893
Pt -1.791 -1.224 1.928
Pt 1.873 -3.672 1.593
Pt 0.000 0.000 0.000
Ag 2.637 -4.114 4.207
Pm 1.587 -0.979 3.038
Pm 5.477 -6.025 3.448
```

No. 2
Below is crystalline PmPuAlAg at its relaxed geometry, with properties calculated at the GGA-PBE level.

Values from the calculation:
V   25.20 Å³/atom
SG   F-43m (216)

The structure in extended XYZ format:
```
4
Lattice="-2.462 -4.599 -0.282 2.525 -4.397 1.259 -1.248 -2.567 4.375" Properties=species:S:1:pos:R:3 pbc="T T T"
Pu -0.592 -5.781 2.676
Al -0.888 -8.672 4.014
Pm 0.000 0.000 0.000
Ag -0.296 -2.891 1.338
```

Which magnetization belongs to each record? In order, 0.00; 6.06 Bohr magnetons per cell.
Which electronic total energy belongs to each record? In order, -5.7345; -6.5108 eV/atom.